Below is a geometry-optimized ZrSc5Tl3 structure, with properties calculated at the GGA-PBE level.

abc: 8.7696 8.7696 6.2496
angles: 90.00 90.00 120.00
Last column: nearest neighbours and their distance in Å.
Space group P6_3/mcm (No. 193)
Asymmetric unit:
Zr 0.0000 0.0000 0.0000 (multiplicity 2)  2 Zr 3.12, 6 Sc 3.22, 6 Tl 3.40
Sc 0.0000 0.3207 0.2500 (multiplicity 6)  5 Tl 2.92-3.13, 2 Zr 3.22
Sc 0.3333 0.6667 0.0000 (multiplicity 4)  8 Sc 3.12-3.36, 6 Tl 3.27
Tl 0.0000 0.3440 0.7500 (multiplicity 6)  5 Sc 2.92-3.13

Results
Final energy (eV/atom): -5.508
Fermi-level density of states (states/eV per cell): 20.55
Total magnetic moment (μB/f.u.): 1.186
ρ (Mg/m³): 7.41

---

Below is a geometry-optimized Zr2ScTl structure, with properties calculated at the GGA-PBE level.

abc: 3.1649 3.1649 9.3537
angles: 90.00 90.00 90.00
Last column: nearest neighbours and their distance in Å.
Space group P4/mmm (No. 123)
Asymmetric unit:
Zr 0.0000 0.0000 0.2480 (multiplicity 2)  4 Zr 3.16, 4 Sc 3.22, 4 Tl 3.25
Sc 0.5000 0.5000 0.0000 (multiplicity 1)  4 Sc 3.16, 8 Zr 3.22
Tl 0.5000 0.5000 0.5000 (multiplicity 1)  4 Tl 3.16, 8 Zr 3.25

Results
Energy relative to the lowest polymorph listed for this composition (eV/atom): 0.125
Fermi-level density of states (states/eV per cell): 5.08
Total magnetic moment (μB/f.u.): 0.000
ρ (Mg/m³): 7.65

---

Below is a geometry-optimized Zr2Sc3Tl structure, with properties calculated at the GGA-PBE level.

abc: 4.4436 13.8368 4.5555
angles: 90.00 90.00 90.00
Last column: nearest neighbours and their distance in Å.
Space group Cmmm (No. 65)
Asymmetric unit:
Zr 0.0000 0.1700 0.0000 (multiplicity 4)  2 Zr 3.14, 8 Sc 3.16-3.27, 2 Tl 3.24
Sc 0.0000 0.0000 0.5000 (multiplicity 2)  4 Tl 3.18, 4 Sc 3.25, 4 Zr 3.27
Sc 0.0000 0.3287 0.5000 (multiplicity 4)  4 Sc 3.11-3.25, 6 Zr 3.16-3.18, 2 Tl 3.29
Tl 0.0000 0.5000 0.0000 (multiplicity 2)  8 Sc 3.18-3.29, 4 Zr 3.24

Results
Final energy (eV/atom): -6.532
Fermi-level density of states (states/eV per cell): 11.10
Total magnetic moment (μB/f.u.): 0.000
ρ (Mg/m³): 6.19